[1]
Density functional theory data (PBE-GGA) for Ca5SnCl12 after structural relaxation.

a = 7.199 Å, b = 12.503 Å, c = 13.038 Å
α = 90.00°, β = 90.02°, γ = 90.00°
Space group C2/m (No. 12)
One atom of each set of equivalent atoms:
Ca (0.000, 0.000, 0.000) [2 per cell]
Ca (0.000, 0.167, 0.500) [4 per cell]
Ca (0.000, 0.333, 0.000) [4 per cell]
Sn (0.000, 0.500, 0.500) [2 per cell]
Cl (0.155, 0.000, 0.610) [4 per cell]
Cl (0.166, 0.167, 0.894) [8 per cell]
Cl (0.166, 0.500, 0.893) [4 per cell]
Cl (0.172, 0.328, 0.610) [8 per cell]

Computed properties:
Total moment ... 0.000 μB per cell
Density ... 2107 kg/m³
E_form (uncorrected) ... -207.8 kJ per mole of atoms

[2]
Density functional theory data (PBE-GGA) for CaSnCl2 after structural relaxation.

a = 7.407 Å, b = 7.407 Å, c = 7.407 Å
α = 90.00°, β = 90.00°, γ = 90.00°
Space group Fm-3m (No. 225)
One atom of each set of equivalent atoms:
Ca (0.000, 0.000, 0.000) [4 per cell]
Sn (0.000, 0.000, 0.500) [4 per cell]
Cl (0.250, 0.250, 0.250) [8 per cell]

Computed properties:
Relative energy among the computed polymorphs ... 0.568 eV/atom
Total moment ... 0.000 μB per cell
Density ... 3754 kg/m³
E_form (uncorrected) ... -84.5 kJ per mole of atoms

[3]
Density functional theory data (PBE-GGA) for CaSn2Cl8 after structural relaxation.

a = 13.724 Å, b = 8.634 Å, c = 7.222 Å
α = 90.00°, β = 103.23°, γ = 90.00°
Space group C2/m (No. 12)
One atom of each set of equivalent atoms:
Ca (0.000, 0.000, 0.000) [2 per cell]
Sn (0.165, 0.000, 0.630) [4 per cell]
Cl (0.084, 0.210, 0.787) [8 per cell]
Cl (0.163, 0.500, 0.210) [4 per cell]
Cl (0.177, 0.000, 0.275) [4 per cell]

Computed properties:
Total moment ... 3.473 μB per cell
Density ... 2237 kg/m³
E_form (uncorrected) ... -113.8 kJ per mole of atoms

[4]
Density functional theory data (PBE-GGA) for SrCaSnCl6 after structural relaxation.

a = 6.638 Å, b = 6.638 Å, c = 13.082 Å
α = 90.00°, β = 90.00°, γ = 90.00°
Space group P4_2nm (No. 102)
One atom of each set of equivalent atoms:
Sr (0.000, 0.000, 0.000) [2 per cell]
Ca (0.000, 0.000, 0.666) [2 per cell]
Sn (0.000, 0.000, 0.333) [2 per cell]
Cl (0.190, 0.190, 0.505) [4 per cell]
Cl (0.194, 0.194, 0.826) [4 per cell]
Cl (0.203, 0.203, 0.168) [4 per cell]

Computed properties:
Total moment ... 0.000 μB per cell
Density ... 2645 kg/m³
E_form (uncorrected) ... -187.9 kJ per mole of atoms